# ScAgHg2, relaxed, DFT PBE-GGA
data_ScAgHg2
_chemical_formula_sum 'Sc2 Ag2 Hg4'
_cell_length_a 6.322
_cell_length_b 6.322
_cell_length_c 6.322
_cell_angle_alpha 103.39
_cell_angle_beta 103.39
_cell_angle_gamma 122.47
_symmetry_space_group_name_H-M 'P 1'
_symmetry_Int_Tables_number 1
loop_
_symmetry_equiv_pos_as_xyz
'x,y,z'
loop_
_atom_site_label
_atom_site_type_symbol
_atom_site_fract_x
_atom_site_fract_y
_atom_site_fract_z
Sc1 Sc 0.000 0.000 0.000
Sc2 Sc 0.750 0.250 0.500
Ag1 Ag 0.250 0.750 0.500
Ag2 Ag 0.500 0.500 0.000
Hg1 Hg 0.132 0.125 0.507
Hg2 Hg 0.375 0.868 0.993
Hg3 Hg 0.618 0.625 0.493
Hg4 Hg 0.875 0.382 0.007
# Total energy   -2.436 eV/atom